No. 1
A geometry-optimized YMnCrSn2 structure. Source: Alexandria, functional PBE-GGA.

a = 5.032 Å, b = 4.599 Å, c = 5.032 Å
α = 90.00°, β = 90.00°, γ = 90.00°
Atoms (fractional coordinates):
Mn 0.000 0.500 0.000
Y 0.500 0.500 0.500
Cr 0.000 0.000 0.000
Sn 0.500 0.000 0.000
Sn 0.000 0.000 0.500

Results
**M_tot**: 2.3 μB/f.u.
**Calculated volume**: 23.29 A^3/atom
**Formation enthalpy at 0 K**: 125 kJ/mol of formula units


No. 2
A geometry-optimized ZnInCo structure. Source: Alexandria, functional PBE-GGA.

a = 2.880 Å, b = 5.939 Å, c = 5.866 Å
α = 90.00°, β = 90.00°, γ = 104.03°
Atoms (fractional coordinates):
Zn 0.625 0.250 0.750
Zn 0.375 0.750 0.250
In 0.350 0.701 0.750
In 0.650 0.299 0.250
Co 0.000 0.000 0.000
Co 0.000 0.000 0.500

Results
**M_tot**: 0.0 μB/f.u.
**Calculated volume**: 16.22 A^3/atom
**Formation enthalpy at 0 K**: 31 kJ/mol of formula units


No. 3
A geometry-optimized YTiBe17 structure. Source: Alexandria, functional PBE-GGA.

a = 5.690 Å, b = 5.690 Å, c = 5.690 Å
α = 83.00°, β = 83.00°, γ = 83.00°
Atoms (fractional coordinates):
Be 0.339 0.847 0.339
Be 0.907 0.907 0.907
Be 0.285 0.711 0.004
Be 0.100 0.100 0.100
Be 0.003 0.498 0.003
Be 0.161 0.655 0.655
Be 0.003 0.003 0.498
Be 0.004 0.285 0.711
Be 0.847 0.339 0.339
Be 0.285 0.004 0.711
Be 0.655 0.161 0.655
Be 0.498 0.003 0.003
Be 0.655 0.655 0.161
Be 0.004 0.711 0.285
Be 0.711 0.004 0.285
Be 0.339 0.339 0.847
Be 0.711 0.285 0.004
Y 0.661 0.661 0.661
Ti 0.334 0.334 0.334

Results
**M_tot**: 0.0 μB/f.u.
**Calculated volume**: 9.50 A^3/atom
**Formation enthalpy at 0 K**: -287 kJ/mol of formula units


No. 4
A geometry-optimized NbCrSb structure. Source: Alexandria, functional PBE-GGA.

a = 3.235 Å, b = 3.236 Å, c = 11.902 Å
α = 90.00°, β = 90.00°, γ = 119.99°
Atoms (fractional coordinates):
Nb 0.278 0.557 0.500
Nb 0.611 0.222 0.000
Sb 0.278 0.555 0.816
Sb 0.278 0.555 0.184
Cr 0.611 0.222 0.343
Cr 0.611 0.222 0.657

Results
**M_tot**: 0.3 μB/f.u.
**Calculated volume**: 17.99 A^3/atom
**Uncorrected formation energy**: 357 meV per atom


No. 5
A geometry-optimized DyMgAl2Au4 structure. Source: Alexandria, functional PBE-GGA.

a = 4.506 Å, b = 4.506 Å, c = 8.958 Å
α = 75.43°, β = 75.43°, γ = 60.00°
Atoms (fractional coordinates):
Au 0.607 0.607 0.178
Au 0.393 0.393 0.822
Au 0.871 0.871 0.387
Au 0.129 0.129 0.613
Al 0.244 0.244 0.269
Al 0.756 0.756 0.731
Dy 0.000 0.000 0.000
Mg 0.500 0.500 0.500

Results
**M_tot**: 0.0 μB/f.u.
**Calculated volume**: 18.84 A^3/atom
**Formation enthalpy at 0 K**: -466 kJ/mol of formula units


No. 6
A geometry-optimized TcSb2Pb structure. Source: Alexandria, functional PBE-GGA.

a = 10.099 Å, b = 10.099 Å, c = 10.099 Å
α = 19.24°, β = 19.24°, γ = 19.24°
Atoms (fractional coordinates):
Pb 0.750 0.750 0.750
Tc 0.250 0.250 0.250
Sb 0.981 0.981 0.981
Sb 0.519 0.519 0.519

Results
**M_tot**: 0.0 μB/f.u.
**Calculated volume**: 24.45 A^3/atom
**Uncorrected formation energy**: 52 meV per atom


No. 7
A geometry-optimized OsPbW4 structure. Source: Alexandria, functional PBE-GGA.

a = 5.319 Å, b = 5.319 Å, c = 5.319 Å
α = 60.00°, β = 60.00°, γ = 60.00°
Atoms (fractional coordinates):
Pb 0.000 0.000 0.000
W 0.878 0.374 0.374
W 0.374 0.374 0.878
W 0.374 0.878 0.374
W 0.374 0.374 0.374
Os 0.750 0.750 0.750

Results
**M_tot**: 0.0 μB/f.u.
**Calculated volume**: 17.73 A^3/atom
**Formation enthalpy at 0 K**: 496 kJ/mol of formula units


No. 8
A geometry-optimized Cs3AsPt structure. Source: Alexandria, functional PBE-GGA.

a = 6.466 Å, b = 6.466 Å, c = 6.466 Å
α = 90.00°, β = 90.00°, γ = 90.00°
Atoms (fractional coordinates):
Cs 0.500 0.000 0.000
Cs 0.000 0.500 0.000
Cs 0.000 0.000 0.500
Pt 0.000 0.000 0.000
As 0.500 0.500 0.500

Results
**M_tot**: 1.8 μB/f.u.
**Calculated volume**: 54.07 A^3/atom
**Formation enthalpy at 0 K**: 98 kJ/mol of formula units


No. 9
A geometry-optimized Dy12Co2Hg5 structure. Source: Alexandria, functional PBE-GGA.

a = 7.494 Å, b = 9.035 Å, c = 9.632 Å
α = 105.82°, β = 90.00°, γ = 114.50°
Atoms (fractional coordinates):
Dy 0.104 0.677 0.917
Dy 0.896 0.323 0.083
Dy 0.399 0.299 0.572
Dy 0.001 0.001 0.820
Dy 0.574 0.677 0.917
Dy 0.499 0.998 0.771
Dy 0.999 0.999 0.180
Dy 0.100 0.701 0.428
Dy 0.426 0.323 0.083
Dy 0.601 0.701 0.428
Dy 0.501 0.002 0.229
Dy 0.900 0.299 0.572
Co 0.290 0.000 0.000
Co 0.710 0.000 0.000
Hg 0.308 0.615 0.164
Hg 0.692 0.385 0.836
Hg 0.698 0.395 0.360
Hg 0.000 0.000 0.500
Hg 0.302 0.605 0.640

Results
**M_tot**: 0.0 μB/f.u.
**Calculated volume**: 29.80 A^3/atom
**Formation enthalpy at 0 K**: -267 kJ/mol of formula units


No. 10
A geometry-optimized Mg2P2IrRu structure. Source: Alexandria, functional PBE-GGA.

a = 5.690 Å, b = 5.685 Å, c = 7.188 Å
α = 113.29°, β = 113.31°, γ = 90.00°
Atoms (fractional coordinates):
P 0.148 0.886 0.773
P 0.375 0.614 0.227
P 0.852 0.114 0.227
P 0.625 0.386 0.773
Mg 0.922 0.667 0.335
Mg 0.078 0.333 0.665
Mg 0.587 0.833 0.665
Mg 0.413 0.167 0.335
Ir 0.000 0.750 0.000
Ir 0.000 0.250 0.000
Ru 0.500 0.750 0.000
Ru 0.500 0.250 0.000

Results
**M_tot**: 0.0 μB/f.u.
**Calculated volume**: 16.06 A^3/atom
**Formation enthalpy at 0 K**: -311 kJ/mol of formula units


No. 11
A geometry-optimized Ca2GePPt6 structure. Source: Alexandria, functional PBE-GGA.

a = 5.616 Å, b = 8.064 Å, c = 8.623 Å
α = 90.00°, β = 90.00°, γ = 90.00°
Atoms (fractional coordinates):
Pt 0.752 0.996 0.500
Pt 0.245 0.470 0.500
Pt 0.000 0.880 0.753
Pt 0.000 0.880 0.247
Pt 0.755 0.470 0.500
Pt 0.500 0.120 0.747
Pt 0.500 0.120 0.253
Pt 0.255 0.530 0.000
Pt 0.745 0.530 0.000
Pt 0.748 0.004 0.000
Pt 0.248 0.996 0.500
Pt 0.252 0.004 0.000
Ca 0.500 0.724 0.735
Ca 0.000 0.276 0.235
Ca 0.000 0.276 0.765
Ca 0.500 0.724 0.265
Ge 0.500 0.274 0.000
Ge 0.000 0.726 0.500
P 0.000 0.755 0.000
P 0.500 0.245 0.500

Results
**M_tot**: 0.0 μB/f.u.
**Calculated volume**: 19.53 A^3/atom
**Formation enthalpy at 0 K**: -745 kJ/mol of formula units


No. 12
A geometry-optimized KCdCu3 structure. Source: Alexandria, functional PBE-GGA.

a = 5.166 Å, b = 5.166 Å, c = 5.166 Å
α = 90.00°, β = 90.00°, γ = 90.00°
Atoms (fractional coordinates):
K 0.000 0.000 0.000
Cu 0.000 0.000 0.500
Cu 0.500 0.000 0.000
Cu 0.000 0.500 0.000
Cd 0.500 0.500 0.500

Results
**M_tot**: 0.0 μB/f.u.
**Calculated volume**: 27.58 A^3/atom
**Formation enthalpy at 0 K**: 726 kJ/mol of formula units


No. 13
A geometry-optimized Ti2Cu3Ni structure. Source: Alexandria, functional PBE-GGA.

a = 4.442 Å, b = 4.442 Å, c = 8.635 Å
α = 102.09°, β = 102.09°, γ = 100.68°
Atoms (fractional coordinates):
Cu 0.625 0.375 0.250
Cu 0.461 0.212 0.923
Cu 0.539 0.788 0.077
Cu 0.212 0.461 0.423
Cu 0.788 0.539 0.577
Cu 0.375 0.625 0.750
Ti 0.698 0.948 0.397
Ti 0.948 0.698 0.897
Ti 0.302 0.052 0.603
Ti 0.052 0.302 0.103
Ni 0.125 0.875 0.250
Ni 0.875 0.125 0.750

Results
**M_tot**: 0.0 μB/f.u.
**Calculated volume**: 13.18 A^3/atom
**Formation enthalpy at 0 K**: -83 kJ/mol of formula units


No. 14
A geometry-optimized La8Ta structure. Source: Alexandria, functional PBE-GGA.

a = 8.131 Å, b = 8.131 Å, c = 8.131 Å
α = 95.43°, β = 95.43°, γ = 144.16°
Atoms (fractional coordinates):
La 0.654 0.346 0.000
La 0.000 0.317 0.317
La 0.683 0.000 0.683
La 0.346 0.654 0.000
La 0.346 0.346 0.692
La 0.000 0.683 0.683
La 0.317 0.000 0.317
La 0.654 0.654 0.308
Ta 0.000 0.000 0.000

Results
**M_tot**: 0.0 μB/f.u.
**Calculated volume**: 33.27 A^3/atom
**Formation enthalpy at 0 K**: 148 kJ/mol of formula units


No. 15
A geometry-optimized NdAg2Au structure. Source: Alexandria, functional PBE-GGA.

a = 5.345 Å, b = 5.332 Å, c = 7.547 Å
α = 69.31°, β = 80.70°, γ = 62.78°
Atoms (fractional coordinates):
Ag 0.895 0.756 0.851
Ag 0.105 0.244 0.149
Ag 0.395 0.607 0.149
Ag 0.605 0.393 0.851
Au 0.250 0.749 0.502
Au 0.750 0.251 0.498
Nd 0.250 0.130 0.739
Nd 0.750 0.870 0.261

Results
**M_tot**: 0.0 μB/f.u.
**Calculated volume**: 22.37 A^3/atom
**Formation enthalpy at 0 K**: -148 kJ/mol of formula units


No. 16
A geometry-optimized Cs4GaPb4 structure. Source: Alexandria, functional PBE-GGA.

a = 6.600 Å, b = 12.114 Å, c = 6.600 Å
α = 74.19°, β = 90.00°, γ = 105.81°
Atoms (fractional coordinates):
Cs 0.620 0.711 0.909
Cs 0.909 0.289 0.091
Cs 0.091 0.711 0.380
Cs 0.380 0.289 0.620
Pb 0.746 0.074 0.671
Pb 0.671 0.926 0.329
Pb 0.329 0.074 0.254
Pb 0.254 0.926 0.746
Ga 0.000 0.000 0.000

Results
**M_tot**: 0.0 μB/f.u.
**Calculated volume**: 54.10 A^3/atom
**Formation enthalpy at 0 K**: -53 kJ/mol of formula units


No. 17
A geometry-optimized Ta3WC structure. Source: Alexandria, functional PBE-GGA.

a = 4.295 Å, b = 4.295 Å, c = 4.295 Å
α = 90.00°, β = 90.00°, γ = 90.00°
Atoms (fractional coordinates):
C 0.000 0.000 0.000
Ta 0.500 0.000 0.000
Ta 0.000 0.000 0.500
Ta 0.000 0.500 0.000
W 0.500 0.500 0.500

Results
**M_tot**: 0.0 μB/f.u.
**Calculated volume**: 15.85 A^3/atom
**Formation enthalpy at 0 K**: -8 kJ/mol of formula units


No. 18
A geometry-optimized YCrGaOs2 structure. Source: Alexandria, functional PBE-GGA.

a = 4.854 Å, b = 5.055 Å, c = 4.854 Å
α = 90.00°, β = 90.00°, γ = 90.00°
Atoms (fractional coordinates):
Ga 0.000 0.500 0.000
Os 0.500 0.000 0.000
Os 0.000 0.000 0.500
Y 0.000 0.000 0.000
Cr 0.500 0.500 0.500

Results
**M_tot**: 0.0 μB/f.u.
**Calculated volume**: 23.82 A^3/atom
**Formation enthalpy at 0 K**: 1309 kJ/mol of formula units


No. 19
A geometry-optimized Si2Ru2Au structure. Source: Alexandria, functional PBE-GGA.

a = 3.553 Å, b = 3.553 Å, c = 6.497 Å
α = 74.13°, β = 74.13°, γ = 90.00°
Atoms (fractional coordinates):
Si 0.250 0.750 0.500
Si 0.750 0.250 0.500
Ru 0.614 0.614 0.771
Ru 0.386 0.386 0.229
Au 0.000 0.000 0.000

Results
**M_tot**: 0.0 μB/f.u.
**Calculated volume**: 15.12 A^3/atom
**Uncorrected formation energy**: -227 meV per atom


No. 20
A geometry-optimized La3Tb8Th structure. Source: Alexandria, functional PBE-GGA.

a = 8.811 Å, b = 8.811 Å, c = 8.811 Å
α = 98.71°, β = 137.01°, γ = 96.73°
Atoms (fractional coordinates):
Tb 0.828 0.580 0.752
Tb 0.503 0.752 0.750
Tb 0.172 0.925 0.753
Tb 0.828 0.075 0.248
Tb 0.998 0.248 0.750
Tb 0.497 0.248 0.250
Tb 0.172 0.420 0.247
Tb 0.002 0.752 0.250
La 0.500 0.237 0.737
La 0.500 0.763 0.263
La 0.000 0.500 0.500
Th 0.000 0.000 0.000

Results
**M_tot**: 0.0 μB/f.u.
**Calculated volume**: 36.15 A^3/atom
**Formation enthalpy at 0 K**: 329 kJ/mol of formula units